Entry 1:
Computed, not measured: a crystal of RbPtAu2N relaxed with PBEsol at the SCAN level of DFT.

Properties
**Magnetization**: 2.06 μB per cell
**Space group**: P4/mmm (123)
**Raw formation energy**: 2.641 eV per atom

Geometry as POSCAR:
```
RbPtAu2N
1.0
5.117 0.000 0.000
0.000 5.838 0.000
0.000 0.000 5.838
Au Rb Pt N
2 1 1 1
Direct
0.000 0.000 0.500
0.000 0.500 0.000
0.000 0.000 0.000
0.500 0.000 0.000
0.500 0.500 0.500
```

Entry 2:
Computed, not measured: a crystal of Y2OsPb relaxed with PBEsol at the SCAN level of DFT.

Properties
**Magnetization**: 0.00 μB per cell
**Space group**: Amm2 (38)
**Raw total energy**: -204.7 eV/f.u.

Geometry as POSCAR:
```
Y2OsPb
1.0
-3.169 1.478 1.358
-2.403 -2.293 -3.113
1.104 -4.974 2.812
Os Pb Y
1 1 2
Direct
0.292 0.000 0.458
0.449 0.500 0.773
0.029 0.000 0.932
0.731 0.500 0.337
```

Entry 3:
Computed, not measured: a crystal of La2TcBr relaxed with PBEsol at the SCAN level of DFT.

Properties
**Magnetization**: 0.00 μB per cell
**Space group**: Cmmm (65)
**Raw formation energy**: -0.753 eV per atom

Geometry as POSCAR:
```
La2TcBr
1.0
3.525 0.044 0.000
-0.743 3.446 0.000
0.000 0.000 8.293
Tc Br La
1 1 2
Direct
0.500 0.500 0.500
0.500 0.500 0.000
0.000 0.000 0.290
0.000 0.000 0.710
```

Entry 4:
Computed, not measured: a crystal of KSbO3 relaxed with PBEsol at the SCAN level of DFT.

Properties
**Magnetization**: 0.00 μB per cell
**Space group**: Pn-3 (201)
**Raw formation energy**: -1.788 eV per atom

Geometry as POSCAR:
```
KSbO3
1.0
-3.021 3.652 -8.386
7.948 -3.323 -4.310
-4.527 -8.271 -1.972
K O Sb
12 36 12
Direct
0.750 0.750 0.750
0.250 0.250 0.750
0.250 0.750 0.250
0.750 0.250 0.250
0.153 0.153 0.153
0.847 0.847 0.153
0.847 0.153 0.847
0.153 0.847 0.847
0.347 0.347 0.347
0.653 0.653 0.347
0.653 0.347 0.653
0.347 0.653 0.653
0.361 0.000 0.000
0.639 0.000 0.000
0.000 0.361 0.000
0.000 0.639 0.000
0.000 0.000 0.361
0.000 0.000 0.639
0.139 0.500 0.500
0.861 0.500 0.500
0.500 0.139 0.500
0.500 0.861 0.500
0.500 0.500 0.139
0.500 0.500 0.861
0.290 0.003 0.342
0.710 0.997 0.342
0.710 0.003 0.658
0.290 0.997 0.658
0.342 0.290 0.003
0.342 0.710 0.997
0.658 0.710 0.003
0.658 0.290 0.997
0.003 0.342 0.290
0.997 0.342 0.710
0.003 0.658 0.710
0.997 0.658 0.290
0.210 0.497 0.158
0.790 0.503 0.158
0.790 0.497 0.842
0.210 0.503 0.842
0.158 0.210 0.497
0.158 0.790 0.503
0.842 0.790 0.497
0.842 0.210 0.503
0.497 0.158 0.210
0.503 0.158 0.790
0.497 0.842 0.790
0.503 0.842 0.210
0.342 0.500 0.000
0.658 0.500 0.000
0.000 0.342 0.500
0.000 0.658 0.500
0.500 0.000 0.342
0.500 0.000 0.658
0.158 0.000 0.500
0.842 0.000 0.500
0.500 0.158 0.000
0.500 0.842 0.000
0.000 0.500 0.158
0.000 0.500 0.842
```

Entry 5:
Computed, not measured: a crystal of Zr2CoTc relaxed with PBEsol at the SCAN level of DFT.

Properties
**Magnetization**: 0.00 μB per cell
**Space group**: R-3m (166)
**Raw total energy**: -113.5 eV/f.u.

Geometry as POSCAR:
```
Zr2CoTc
1.0
3.156 0.000 0.000
1.578 2.733 0.000
1.578 0.911 7.778
Co Tc Zr
1 1 2
Direct
0.500 0.500 0.500
0.000 0.000 0.000
0.247 0.247 0.260
0.753 0.753 0.740
```

Entry 6:
Computed, not measured: a crystal of K3NbS4 relaxed with PBEsol at the SCAN level of DFT.

Properties
**Magnetization**: 0.00 μB per cell
**Space group**: Pnma (62)
**Raw formation energy**: -1.429 eV per atom

Geometry as POSCAR:
```
K3NbS4
1.0
9.205 0.000 0.000
0.000 9.382 0.000
0.000 0.000 10.552
K Nb S
12 4 16
Direct
0.942 0.711 0.955
0.366 0.578 0.250
0.634 0.422 0.750
0.134 0.078 0.750
0.058 0.289 0.045
0.558 0.211 0.455
0.442 0.789 0.955
0.942 0.711 0.545
0.058 0.289 0.455
0.442 0.789 0.545
0.558 0.211 0.045
0.866 0.922 0.250
0.784 0.488 0.250
0.284 0.012 0.250
0.716 0.988 0.750
0.216 0.512 0.750
0.337 0.448 0.929
0.837 0.052 0.571
0.163 0.948 0.071
0.663 0.552 0.429
0.663 0.552 0.071
0.163 0.948 0.429
0.837 0.052 0.929
0.337 0.448 0.571
0.809 0.246 0.250
0.309 0.254 0.250
0.691 0.746 0.750
0.191 0.754 0.750
0.010 0.589 0.250
0.990 0.411 0.750
0.490 0.089 0.750
0.510 0.911 0.250
```

Entry 7:
Computed, not measured: a crystal of CrAg2W relaxed with PBEsol at the SCAN level of DFT.

Properties
**Magnetization**: 0.00 μB per cell
**Space group**: Cm (8)
**Raw total energy**: -147.9 eV/f.u.

Geometry as POSCAR:
```
CrAg2W
1.0
-1.732 1.800 -0.772
-2.475 -3.818 1.076
-0.043 1.986 4.727
Ag Cr W
2 1 1
Direct
0.999 0.998 0.993
0.248 0.496 0.755
0.505 0.010 0.485
0.748 0.496 0.267
```

Entry 8:
Computed, not measured: a crystal of KIN3 relaxed with PBEsol at the SCAN level of DFT.

Properties
**Magnetization**: 0.00 μB per cell
**Space group**: Pm-3m (221)
**Raw formation energy**: 1.751 eV per atom

Geometry as POSCAR:
```
KIN3
1.0
-1.219 1.712 3.514
3.080 -1.847 1.969
2.408 3.229 -0.738
I K N
1 1 3
Direct
0.000 0.000 0.000
0.500 0.500 0.500
0.000 0.500 0.000
0.000 0.000 0.500
0.500 0.000 0.000
```

Entry 9:
Computed, not measured: a crystal of KLi2Si relaxed with PBEsol at the SCAN level of DFT.

Properties
**Magnetization**: 0.00 μB per cell
**Space group**: Pmmm (47)
**Raw formation energy**: 0.132 eV per atom

Geometry as POSCAR:
```
KLi2Si
1.0
-2.130 1.939 -0.546
-2.127 -1.417 3.259
3.412 4.984 4.393
K Si Li
1 1 2
Direct
0.500 0.500 0.500
0.500 0.500 0.000
0.000 0.000 0.842
0.000 0.000 0.158
```

Entry 10:
Computed, not measured: a crystal of MnCoB relaxed with PBEsol at the SCAN level of DFT.

Properties
**Magnetization**: 5.74 μB per cell
**Space group**: Fmmm (69)
**Raw total energy**: -43.9 eV/f.u.

Geometry as POSCAR:
```
MnCoB
1.0
4.040 -0.005 0.000
-1.939 3.544 0.000
-1.050 -1.769 3.567
B Co Mn
2 2 2
Direct
0.750 0.250 0.500
0.250 0.750 0.500
0.165 0.165 0.331
0.835 0.835 0.669
0.339 0.661 0.000
0.661 0.339 0.000
```

Entry 11:
Computed, not measured: a crystal of BeTc2Cl relaxed with PBEsol at the SCAN level of DFT.

Properties
**Magnetization**: 0.01 μB per cell
**Space group**: Cmmm (65)
**Raw formation energy**: 0.589 eV per atom

Geometry as POSCAR:
```
BeTc2Cl
1.0
2.744 -0.057 0.000
-1.257 2.439 0.000
0.000 0.000 7.992
Be Tc Cl
1 2 1
Direct
0.500 0.500 0.500
0.000 0.000 0.264
0.000 0.000 0.736
0.500 0.500 0.000
```

Entry 12:
Computed, not measured: a crystal of Be2CuAs relaxed with PBEsol at the SCAN level of DFT.

Properties
**Magnetization**: 0.00 μB per cell
**Space group**: P2/m (10)
**Raw total energy**: -43.3 eV/f.u.

Geometry as POSCAR:
```
Be2CuAs
1.0
-1.421 -1.123 -1.910
0.792 -2.958 1.150
-3.852 0.559 4.090
Be As Cu
2 1 1
Direct
0.946 0.000 0.804
0.054 0.000 0.196
0.000 0.500 0.500
0.500 0.500 0.000
```